Compound: Hf2UFe9
Source: Alexandria via LeMat-Bulk
Functional: PBE-GGA
Structure: optimized geometry

Summary:
M_tot ... 1.118 μB per atom
Volume ... 13.9 Å³/atom
Formation energy ... -0.19 eV/atom
Crystal system ... hexagonal

abc: 4.888 4.888 16.143
angles: 90.00 90.00 120.00
Fractional positions:
Hf 0.333 0.667 0.037
Hf 0.333 0.667 0.463
Hf 0.667 0.333 0.537
Hf 0.667 0.333 0.963
U 0.333 0.667 0.250
U 0.667 0.333 0.750
Fe 0.000 0.000 0.000
Fe 0.000 0.000 0.250
Fe 0.000 0.000 0.500
Fe 0.000 0.000 0.750
Fe 0.168 0.336 0.622
Fe 0.168 0.336 0.878
Fe 0.168 0.832 0.622
Fe 0.168 0.832 0.878
Fe 0.333 0.667 0.750
Fe 0.336 0.168 0.122
Fe 0.336 0.168 0.378
Fe 0.664 0.832 0.622
Fe 0.664 0.832 0.878
Fe 0.667 0.333 0.250
Fe 0.832 0.168 0.122
Fe 0.832 0.168 0.378
Fe 0.832 0.664 0.122
Fe 0.832 0.664 0.378



Compound: HfUFe
Source: Alexandria via LeMat-Bulk
Functional: PBE-GGA
Structure: optimized geometry

Summary:
M_tot ... 0.000 μB per atom
Volume ... 18.7 Å³/atom
Formation energy ... -0.08 eV/atom
Crystal system ... monoclinic

abc: 12.281 3.326 5.535
angles: 90.00 96.88 90.00
Fractional positions:
Hf 0.152 0.000 0.346
Hf 0.348 0.500 0.654
Hf 0.652 0.500 0.346
Hf 0.848 0.000 0.654
U 0.073 0.500 0.840
U 0.427 0.000 0.160
U 0.573 0.000 0.840
U 0.927 0.500 0.160
Fe 0.206 0.000 0.837
Fe 0.294 0.500 0.163
Fe 0.706 0.500 0.837
Fe 0.794 0.000 0.163



Compound: Hf2V3Fe
Source: Alexandria via LeMat-Bulk
Functional: PBE-GGA
Structure: optimized geometry

Summary:
M_tot ... 0.000 μB per atom
Volume ... 15.6 Å³/atom
Formation energy ... -0.18 eV/atom
Crystal system ... trigonal

abc: 5.028 5.028 5.028
angles: 61.79 61.79 61.79
Fractional positions:
Hf 0.126 0.126 0.126
Hf 0.874 0.874 0.874
V 0.000 0.500 0.500
V 0.500 0.000 0.500
V 0.500 0.500 0.000
Fe 0.500 0.500 0.500



Compound: HfV2Fe2
Source: Alexandria via LeMat-Bulk
Functional: PBE-GGA
Structure: optimized geometry

Summary:
M_tot ... 0.000 μB per atom
Volume ... 13.7 Å³/atom
Formation energy ... 0.06 eV/atom
Crystal system ... tetragonal

abc: 7.118 7.118 2.696
angles: 90.00 90.00 90.00
Fractional positions:
Hf 0.000 0.000 0.000
Hf 0.500 0.500 0.000
V 0.145 0.355 0.000
V 0.355 0.855 0.000
V 0.645 0.145 0.000
V 0.855 0.645 0.000
Fe 0.146 0.646 0.500
Fe 0.354 0.146 0.500
Fe 0.646 0.854 0.500
Fe 0.854 0.354 0.500



Compound: Hf2VFe
Source: Alexandria via LeMat-Bulk
Functional: PBE-GGA
Structure: optimized geometry

Summary:
M_tot ... 0.389 μB per atom
Volume ... 17.8 Å³/atom
Formation energy ... 0.47 eV/atom
Crystal system ... tetragonal

abc: 7.074 7.074 5.690
angles: 90.00 90.00 90.00
Fractional positions:
Hf 0.213 0.750 0.125
Hf 0.250 0.213 0.875
Hf 0.250 0.287 0.375
Hf 0.287 0.750 0.625
Hf 0.713 0.250 0.625
Hf 0.750 0.713 0.375
Hf 0.750 0.787 0.875
Hf 0.787 0.250 0.125
V 0.000 0.000 0.500
V 0.000 0.500 0.750
V 0.500 0.000 0.250
V 0.500 0.500 0.000
Fe 0.000 0.000 0.000
Fe 0.000 0.500 0.250
Fe 0.500 0.000 0.750
Fe 0.500 0.500 0.500



Compound: HfVFe
Source: Alexandria via LeMat-Bulk
Functional: PBE-GGA
Structure: optimized geometry

Summary:
M_tot ... 0.000 μB per atom
Volume ... 15.0 Å³/atom
Formation energy ... 0.09 eV/atom
Crystal system ... trigonal

abc: 4.203 4.203 2.944
angles: 90.00 90.00 120.00
Fractional positions:
Hf 0.000 0.000 0.000
V 0.667 0.333 0.586
Fe 0.333 0.667 0.353



Compound: Hf3VFe
Source: Alexandria via LeMat-Bulk
Functional: PBE-GGA
Structure: optimized geometry

Summary:
M_tot ... 0.468 μB per atom
Volume ... 22.0 Å³/atom
Formation energy ... 1.03 eV/atom
Crystal system ... cubic

abc: 4.794 4.794 4.794
angles: 90.00 90.00 90.00
Fractional positions:
Hf 0.000 0.000 0.500
Hf 0.000 0.500 0.000
Hf 0.500 0.000 0.000
V 0.000 0.000 0.000
Fe 0.500 0.500 0.500



Compound: HfV3Fe
Source: Alexandria via LeMat-Bulk
Functional: PBE-GGA
Structure: optimized geometry

Summary:
M_tot ... 0.643 μB per atom
Volume ... 19.2 Å³/atom
Formation energy ... 1.91 eV/atom
Crystal system ... cubic

abc: 4.583 4.583 4.583
angles: 90.00 90.00 90.00
Fractional positions:
Hf 0.000 0.000 0.000
V 0.000 0.000 0.500
V 0.000 0.500 0.000
V 0.500 0.000 0.000
Fe 0.500 0.500 0.500



Compound: HfV2Fe2
Source: Alexandria via LeMat-Bulk
Functional: PBE-GGA
Structure: optimized geometry

Summary:
M_tot ... 0.148 μB per atom
Volume ... 14.6 Å³/atom
Formation energy ... 0.12 eV/atom
Crystal system ... tetragonal

abc: 3.910 3.910 9.544
angles: 90.00 90.00 90.00
Fractional positions:
Hf 0.000 0.000 0.000
Hf 0.500 0.500 0.500
V 0.000 0.000 0.372
V 0.000 0.000 0.628
V 0.500 0.500 0.128
V 0.500 0.500 0.872
Fe 0.000 0.500 0.250
Fe 0.000 0.500 0.750
Fe 0.500 0.000 0.250
Fe 0.500 0.000 0.750



Compound: HfV2Fe2
Source: Alexandria via LeMat-Bulk
Functional: PBE-GGA
Structure: optimized geometry

Summary:
M_tot ... 0.000 μB per atom
Volume ... 13.8 Å³/atom
Formation energy ... 0.03 eV/atom
Crystal system ... tetragonal

abc: 6.992 6.992 2.826
angles: 90.00 90.00 90.00
Fractional positions:
Hf 0.000 0.000 0.000
Hf 0.500 0.500 0.000
V 0.154 0.346 0.500
V 0.346 0.846 0.500
V 0.654 0.154 0.500
V 0.846 0.654 0.500
Fe 0.134 0.634 0.000
Fe 0.366 0.134 0.000
Fe 0.634 0.866 0.000
Fe 0.866 0.366 0.000



Compound: Hf2VFe
Source: Alexandria via LeMat-Bulk
Functional: PBE-GGA
Structure: optimized geometry

Summary:
M_tot ... 0.584 μB per atom
Volume ... 16.7 Å³/atom
Formation energy ... -0.05 eV/atom
Crystal system ... tetragonal

abc: 4.563 4.563 3.211
angles: 90.00 90.00 90.00
Fractional positions:
Hf 0.000 0.500 0.000
Hf 0.500 0.000 0.000
V 0.000 0.000 0.500
Fe 0.500 0.500 0.500



Compound: Hf2VFe
Source: Alexandria via LeMat-Bulk
Functional: PBE-GGA
Structure: optimized geometry

Summary:
M_tot ... 0.273 μB per atom
Volume ... 16.6 Å³/atom
Formation energy ... -0.05 eV/atom
Crystal system ... tetragonal

abc: 3.168 3.168 6.629
angles: 90.00 90.00 90.00
Fractional positions:
Hf 0.000 0.000 0.235
Hf 0.000 0.000 0.765
V 0.500 0.500 0.500
Fe 0.500 0.500 0.000